# 1
This record from Alexandria via LeMat-Bulk describes a relaxed structure of Ti2BeInGa. The functional is PBE.

a b c (Å): 5.0705 4.3156 5.0705
angles (deg): 90.00 90.00 90.00
Closest atoms and distances in Å follow each position.
Element x y z (fractional)
Ga 0.5000 0.5000 0.5000  8 Ti 3.33, 4 Be 3.59
Ti 0.5000 0.0000 0.0000  2 In 2.54
In 0.0000 0.0000 0.0000  2 Be 2.16
Be 0.0000 0.5000 0.0000  2 In 2.16
Ti 0.0000 0.0000 0.5000  2 In 2.54

## Properties
The space group is P4/mmm (123). The formation energy is 1.036 eV per atom. Its crystal system is tetragonal. As for the electronic total energy: -4.021 eV per atom. For the size of the total moment, the calculation gives 0.0 μB per cell.



# 2
This record from Alexandria via LeMat-Bulk describes a relaxed structure of Sc2BeTe. The functional is PBE.

a b c (Å): 3.7918 3.7918 7.3378
angles (deg): 75.15 75.15 59.87
Closest atoms and distances in Å follow each position.
Element x y z (fractional)
Sc 0.9914 0.9914 0.0263  3 Be 2.69, 3 Te 2.92
Sc 0.5086 0.5086 0.4737  3 Be 2.69, 3 Te 2.92
Be 0.2500 0.2500 0.2500  6 Sc 2.69
Te 0.7500 0.7500 0.7500  6 Sc 2.92

## Properties
The space group is C2/m (12). Its crystal system is monoclinic. As for the electronic total energy: -5.269 eV per atom. For the size of the total moment, the calculation gives 0.0 μB per cell. For the energy above the lowest structure with this stoichiometry, the calculation gives 0.093 eV/atom. As for the uncorrected formation energy: -1.545 eV per formula unit.